[1]
Computed, not measured: a geometry-optimized YHoErTm structure at the PBE-GGA level of DFT.

```
data_YHoErTm
_chemical_formula_sum 'Y2 Ho2 Er2 Tm2'
_cell_length_a 4.9791
_cell_length_b 4.9791
_cell_length_c 9.9702
_cell_angle_alpha 90.00
_cell_angle_beta 90.00
_cell_angle_gamma 90.00
_symmetry_space_group_name_H-M 'I -4 m 2'
_symmetry_Int_Tables_number 119
_symmetry_space_group_name_Hall 'I -4 -2'
loop_
_atom_site_label
_atom_site_type_symbol
_atom_site_fract_x
_atom_site_fract_y
_atom_site_fract_z
_atom_site_occupancy
Y1 Y 0.0000 0.0000 0.0000 1
Ho1 Ho 0.0000 0.5000 0.2500 1
Er1 Er 0.0000 0.0000 0.5000 1
Tm1 Tm 0.0000 0.5000 0.7500 1
```

Results
The value obtained for the energy relative to the lowest polymorph listed for this composition is 0.0 kJ/mol of atoms. The value obtained for the formation energy is 0.027 eV per atom.

***

[2]
Computed, not measured: a geometry-optimized Y6Ho3ErTm2 structure at the PBE-GGA level of DFT.

```
data_Y6Ho3ErTm2
_chemical_formula_sum 'Y12 Ho6 Er2 Tm4'
_cell_length_a 6.1345
_cell_length_b 10.6114
_cell_length_c 11.7416
_cell_angle_alpha 90.00
_cell_angle_beta 99.99
_cell_angle_gamma 90.00
_symmetry_space_group_name_H-M 'C 1 2/m 1'
_symmetry_Int_Tables_number 12
_symmetry_space_group_name_Hall '-C 2y'
loop_
_atom_site_label
_atom_site_type_symbol
_atom_site_fract_x
_atom_site_fract_y
_atom_site_fract_z
_atom_site_occupancy
Y1 Y 0.2496 0.0000 0.2491 1
Y2 Y 0.2502 0.1667 0.7509 1
Ho1 Ho 0.0000 0.0000 0.5000 1
Ho2 Ho 0.0000 0.3332 0.5000 1
Er1 Er 0.0000 0.5000 0.0000 1
Tm1 Tm 0.0000 0.1667 0.0000 1
```

Results
The value obtained for the formation energy is 0.026 eV per atom.

***

[3]
Computed, not measured: a geometry-optimized YHoErTm structure at the PBE-GGA level of DFT.

```
data_YHoErTm
_chemical_formula_sum 'Y4 Ho4 Er4 Tm4'
_cell_length_a 7.9616
_cell_length_b 7.9616
_cell_length_c 7.9616
_cell_angle_alpha 90.00
_cell_angle_beta 90.00
_cell_angle_gamma 90.00
_symmetry_space_group_name_H-M 'F -4 3 m'
_symmetry_Int_Tables_number 216
_symmetry_space_group_name_Hall 'F -4 2 3'
loop_
_atom_site_label
_atom_site_type_symbol
_atom_site_fract_x
_atom_site_fract_y
_atom_site_fract_z
_atom_site_occupancy
Y1 Y 0.0000 0.0000 0.0000 1
Ho1 Ho 0.0000 0.0000 0.5000 1
Er1 Er 0.2500 0.2500 0.2500 1
Tm1 Tm 0.2500 0.2500 0.7500 1
```

Results
The value obtained for the energy relative to the lowest polymorph listed for this composition is 10.8 kJ/mol of atoms. The value obtained for the formation energy is 0.139 eV per atom.